Record 1
VASP calculation (PBE) on MgTaBiMo after structural relaxation.

The structure belongs to space group F-43m (No. 216); the cell edges are 6.765, 6.765 and 6.765 Å and the angles 90.00°, 90.00° and 90.00°. Symmetry generates all atoms from Mg at (0.000, 0.000, 0.000), Ta at (0.250, 0.250, 0.250), Bi at (0.000, 0.000, 0.500) and Mo at (0.250, 0.250, 0.750).

The magnetic moment is 0.1 μB/cell. The distance to the lowest polymorph of the same formula is 302 meV per atom. The total energy is -101.123 eV for the cell shown.

=====

Record 2
VASP calculation (PBE) on Pm2PdO4 after structural relaxation.

The structure belongs to space group Pbca (No. 61); the cell edges are 5.648, 5.674 and 12.279 Å and the angles 90.00°, 90.00° and 90.00°. Symmetry generates all atoms from Pm at (0.009, 0.038, 0.156), Pd at (0.000, 0.000, 0.500), O at (0.189, 0.690, 0.511) and O at (0.242, 0.211, 0.755).

The magnetic moment is 0.0 μB/cell. The distance to the lowest polymorph of the same formula is 0 meV per atom. The total energy is -209.845 eV for the cell shown.

=====

Record 3
VASP calculation (PBE) on TlCuPdW after structural relaxation.

The structure belongs to space group F-43m (No. 216); the cell edges are 6.464, 6.464 and 6.464 Å and the angles 90.00°, 90.00° and 90.00°. Symmetry generates all atoms from Tl at (0.000, 0.000, 0.000), Cu at (0.250, 0.250, 0.250), Pd at (0.000, 0.000, 0.500) and W at (0.250, 0.250, 0.750).

The magnetic moment is 3.9 μB/cell. The distance to the lowest polymorph of the same formula is 45 meV per atom. The total energy is -85.926 eV for the cell shown.

=====

Record 4
VASP calculation (PBE) on RbTa2Pt2 after structural relaxation.

The structure belongs to space group P4/mbm (No. 127); the cell edges are 8.905, 8.905 and 2.811 Å and the angles 90.00°, 90.00° and 90.00°. Symmetry generates all atoms from Rb at (0.000, 0.000, 0.000), Ta at (0.114, 0.386, 0.500) and Pt at (0.176, 0.676, 0.500).

The magnetic moment is 0.0 μB/cell. The total energy is -69.193 eV for the cell shown.